No. 1
Compound: TaRu3
Source: Alexandria via LeMat-Bulk
Functional: GGA-PBE
Structure: relaxed

Unit cell a=4.9688 b=4.9688 c=4.9688 alpha=90.00 beta=90.00 gamma=90.00
Space group Pm-3n (No. 223)
Unique sites:
Ta  0.0000  0.0000  0.0000 [2 per cell]
Ru  0.0000  0.2500  0.5000 [6 per cell]

For the energy relative to the elements, the calculation gives 0.104 eV/atom. The value obtained for the total energy is -9.82 eV/atom.

***

No. 2
Compound: TaRu3
Source: Alexandria via LeMat-Bulk
Functional: GGA-PBE
Structure: relaxed

Unit cell a=3.2803 b=3.2803 c=5.6619 alpha=90.00 beta=90.00 gamma=90.00
Space group P4/mmm (No. 123)
Unique sites:
Ta  0.0000  0.0000  0.0000 [1 per cell]
Ru  0.0000  0.0000  0.5000 [1 per cell]
Ru  0.5000  0.5000  0.2586 [2 per cell]

For the energy relative to the elements, the calculation gives 0.085 eV/atom. The value obtained for the total energy is -9.84 eV/atom.

***

No. 3
Compound: Ta3Ru
Source: Alexandria via LeMat-Bulk
Functional: GGA-PBE
Structure: relaxed

Unit cell a=2.9137 b=4.4935 c=5.2993 alpha=90.00 beta=101.08 gamma=90.00
Space group P2/m (No. 10)
Unique sites:
Ta  0.0000  0.0000  0.0000 [1 per cell]
Ta  0.2573  0.5000  0.7482 [2 per cell]
Ru  0.5000  0.0000  0.5000 [1 per cell]

For the energy relative to the elements, the calculation gives -0.178 eV/atom. The value obtained for the total energy is -11.39 eV/atom.

***

No. 4
Compound: Ta3Ru
Source: Alexandria via LeMat-Bulk
Functional: GGA-PBE
Structure: relaxed

Unit cell a=6.5105 b=9.1144 c=4.5713 alpha=90.00 beta=90.00 gamma=90.00
Space group Cmcm (No. 63)
Unique sites:
Ta  0.0000  0.1228  0.2500 [4 per cell]
Ta  0.2466  0.3754  0.2500 [8 per cell]
Ru  0.0000  0.3743  0.7500 [4 per cell]

For the energy relative to the elements, the calculation gives -0.247 eV/atom. The value obtained for the total energy is -11.46 eV/atom.

***

No. 5
Compound: TaRu3
Source: Alexandria via LeMat-Bulk
Functional: GGA-PBE
Structure: relaxed

Unit cell a=4.7876 b=4.7876 c=4.7876 alpha=90.00 beta=90.00 gamma=90.00
Space group Pm-3m (No. 221)
Unique sites:
Ta  0.0000  0.0000  0.0000 [1 per cell]
Ru  0.0000  0.0000  0.5000 [3 per cell]

For the energy relative to the elements, the calculation gives 2.253 eV/atom. The value obtained for the total energy is -7.67 eV/atom.

***

No. 6
Compound: Ta3Ru
Source: Alexandria via LeMat-Bulk
Functional: GGA-PBE
Structure: relaxed

Unit cell a=3.0159 b=3.0159 c=26.7495 alpha=90.00 beta=90.00 gamma=120.00
Space group R-3m (No. 166, hexagonal axes)
Unique sites:
Ta  0.0000  0.0000  0.0000 [3 per cell]
Ta  0.0000  0.0000  0.2454 [6 per cell]
Ru  0.0000  0.0000  0.5000 [3 per cell]

For the energy relative to the elements, the calculation gives 0.040 eV/atom. The value obtained for the total energy is -11.17 eV/atom.